(1)
A relaxed PrSn2Pd4 crystal. Source: the Alexandria database, functional PBE-GGA.

The calculation puts the formation energy at -4.2 eV/f.u. The density of states at the Fermi level is 0.639 states/eV per atom. As for the energy above the most stable polymorph in this dataset: 0.042 eV per atom. Its crystal system is trigonal. For the magnetic moment, the calculation gives 0.00 μB/f.u.

abc: 4.5512 4.5512 24.7792
angles: 90.00 90.00 120.00
Closest atoms and distances in Å follow each position.
Space group R-3m (No. 166, hexagonal axes)
One atom of each set of equivalent atoms:
Pr (0.0000, 0.0000, 0.0000) [3 per cell]  8 Pd 3.25-3.26, 6 Sn 3.50
Sn (0.0000, 0.0000, 0.2399) [6 per cell]  7 Pd 2.66-2.79
Pd (0.0000, 0.0000, 0.1317) [6 per cell]  4 Sn 2.68-2.79, 3 Pd 2.96
Pd (0.0000, 0.0000, 0.4103) [6 per cell]  3 Sn 2.66, 3 Pd 2.96

---

(2)
A relaxed Pr2SnPd3 crystal. Source: the Alexandria database, functional PBE-GGA.

The calculation puts the formation energy at -4.3 eV/f.u. The density of states at the Fermi level is 0.767 states/eV per atom. Its crystal system is orthorhombic. For the magnetic moment, the calculation gives 0.00 μB/f.u.

abc: 7.5355 9.2391 16.2179
angles: 90.00 90.00 90.00
Closest atoms and distances in Å follow each position.
Space group Fmmm (No. 69)
One atom of each set of equivalent atoms:
Pr (0.2428, 0.0000, 0.0000) [8 per cell]  10 Pd 3.27-3.30, 2 Sn 3.32
Pr (0.2500, 0.2500, 0.2500) [8 per cell]  8 Pd 3.26-3.30, 4 Sn 3.27
Sn (0.0000, 0.0000, 0.3336) [8 per cell]  3 Pd 2.64-2.67
Pd (0.0000, 0.0000, 0.1693) [8 per cell]  1 Sn 2.67, 2 Pd 2.73
Pd (0.0000, 0.2462, 0.4168) [16 per cell]  1 Sn 2.64, 2 Pd 2.70-2.73

---

(3)
A relaxed Pr3Sn8Pd3 crystal. Source: the Alexandria database, functional PBE-GGA.

The calculation puts the formation energy at -7.9 eV/f.u. The density of states at the Fermi level is 0.461 states/eV per atom. Its crystal system is monoclinic. For the magnetic moment, the calculation gives 0.00 μB/f.u.

abc: 16.6474 5.0262 10.2155
angles: 90.00 125.71 90.00
Closest atoms and distances in Å follow each position.
Space group C2/m (No. 12)
One atom of each set of equivalent atoms:
Pr (0.0000, 0.0000, 0.0000) [2 per cell]  8 Sn 3.36-3.56, 4 Pd 3.68
Pr (0.2057, 0.5000, 0.6848) [4 per cell]  9 Sn 3.23-3.56, 3 Pd 3.32-3.47
Sn (0.0092, 0.5000, 0.6784) [4 per cell]  1 Pd 2.70
Sn (0.1391, 0.0000, 0.8521) [4 per cell]  1 Pd 2.93, 5 Sn 3.04-3.19
Sn (0.1450, 0.0000, 0.4284) [4 per cell]  4 Pd 2.79-2.90
Sn (0.1510, 0.5000, 0.0550) [4 per cell]  1 Pd 2.67
Pd (0.0000, 0.0000, 0.5000) [2 per cell]  8 Sn 2.90-3.05
Pd (0.1504, 0.5000, 0.3154) [4 per cell]  5 Sn 2.67-2.84

---

(4)
A relaxed Pr3Sn3Pd2 crystal. Source: the Alexandria database, functional PBE-GGA.

The calculation puts the formation energy at -6.9 eV/f.u. The density of states at the Fermi level is 0.426 states/eV per atom. As for the energy above the most stable polymorph in this dataset: 0.000 eV per atom. Its crystal system is orthorhombic. For the magnetic moment, the calculation gives 0.00 μB/f.u.

abc: 4.6763 11.2833 15.6916
angles: 90.00 90.00 90.00
Closest atoms and distances in Å follow each position.
Space group Cmcm (No. 63)
One atom of each set of equivalent atoms:
Pr (0.0000, 0.0855, 0.1095) [8 per cell]  4 Pd 3.28-3.60, 7 Sn 3.31-3.51
Pr (0.0000, 0.3604, 0.2500) [4 per cell]  5 Sn 3.30-3.34, 4 Pd 3.36
Sn (0.0000, 0.3455, 0.7500) [4 per cell]  2 Pd 2.80
Sn (0.0000, 0.3767, 0.0375) [8 per cell]  3 Pd 2.72-2.94, 1 Sn 3.02
Pd (0.0000, 0.2048, 0.6033) [8 per cell]  4 Sn 2.72-2.94

---

(5)
A relaxed PrSn4Pd15 crystal. Source: the Alexandria database, functional PBE-GGA.

The calculation puts the formation energy at -10.9 eV/f.u. The density of states at the Fermi level is 0.145 states/eV per atom. Its crystal system is tetragonal. For the magnetic moment, the calculation gives 0.00 μB/f.u.

abc: 4.0884 4.0884 20.2887
angles: 90.00 90.00 90.00
Closest atoms and distances in Å follow each position.
Space group P4/mmm (No. 123)
One atom of each set of equivalent atoms:
Pr (0.0000, 0.0000, 0.0000) [1 per cell]  12 Pd 2.89-3.00
Sn (0.0000, 0.0000, 0.2054) [2 per cell]  12 Pd 2.84-2.89
Sn (0.0000, 0.0000, 0.4019) [2 per cell]  12 Pd 2.85-2.89
Pd (0.0000, 0.5000, 0.1085) [4 per cell]  2 Sn 2.84, 8 Pd 2.84-3.00, 2 Pr 3.00
Pd (0.0000, 0.5000, 0.3033) [4 per cell]  8 Pd 2.85-2.89, 4 Sn 2.85-2.86
Pd (0.0000, 0.5000, 0.5000) [2 per cell]  4 Sn 2.85, 8 Pd 2.86-2.89
Pd (0.5000, 0.5000, 0.0000) [1 per cell]  4 Pr 2.89, 8 Pd 3.00
Pd (0.5000, 0.5000, 0.2057) [2 per cell]  8 Pd 2.84-2.85, 4 Sn 2.89
Pd (0.5000, 0.5000, 0.4016) [2 per cell]  8 Pd 2.86, 4 Sn 2.89

---

(6)
A relaxed PrSn6Pd crystal. Source: the Alexandria database, functional PBE-GGA.

The calculation puts the formation energy at -2.1 eV/f.u. The density of states at the Fermi level is 0.490 states/eV per atom. Its crystal system is monoclinic. For the magnetic moment, the calculation gives 0.00 μB/f.u.

abc: 7.0263 10.6429 6.6346
angles: 90.00 121.76 90.00
Closest atoms and distances in Å follow each position.
Space group C2/m (No. 12)
One atom of each set of equivalent atoms:
Pr (0.0000, 0.0000, 0.0000) [2 per cell]  10 Sn 3.29-3.66, 2 Pd 3.32
Sn (0.0503, 0.5000, 0.3004) [4 per cell]  1 Pd 2.71
Sn (0.2029, 0.2319, 0.7501) [8 per cell]  1 Pd 2.90, 3 Sn 3.03-3.13
Pd (0.0000, 0.0000, 0.5000) [2 per cell]  6 Sn 2.71-2.90

---

(7)
A relaxed PrSn3Pd2 crystal. Source: the Alexandria database, functional PBE-GGA.

The calculation puts the formation energy at -3.2 eV/f.u. The density of states at the Fermi level is 0.435 states/eV per atom. Its crystal system is orthorhombic. For the magnetic moment, the calculation gives 0.00 μB/f.u.

abc: 10.2484 9.0653 5.8389
angles: 90.00 90.00 90.00
Closest atoms and distances in Å follow each position.
Space group Cmcm (No. 63)
One atom of each set of equivalent atoms:
Pr (0.0000, 0.0822, 0.2500) [4 per cell]  3 Sn 3.08-3.33, 4 Pd 3.27, 2 Pr 3.28
Sn (0.0000, 0.4214, 0.2500) [4 per cell]  4 Pd 2.81, 1 Pr 3.08
Sn (0.1598, 0.2380, 0.7500) [8 per cell]  4 Pd 2.86-2.87
Pd (0.2234, 0.5000, 0.0000) [8 per cell]  6 Sn 2.81-2.87, 2 Pd 2.92

---

(8)
A relaxed PrSnPd2 crystal. Source: the Alexandria database, functional PBE-GGA.

The calculation puts the formation energy at -2.5 eV/f.u. The density of states at the Fermi level is 0.839 states/eV per atom. Its crystal system is tetragonal. For the magnetic moment, the calculation gives 0.00 μB/f.u.

abc: 4.8080 4.8080 3.7013
angles: 90.00 90.00 90.00
Closest atoms and distances in Å follow each position.
Space group P4/mmm (No. 123)
One atom of each set of equivalent atoms:
Pr (0.0000, 0.0000, 0.0000) [1 per cell]  8 Pd 3.03
Sn (0.5000, 0.5000, 0.0000) [1 per cell]  8 Pd 3.03
Pd (0.0000, 0.5000, 0.5000) [2 per cell]  4 Sn 3.03, 4 Pr 3.03

---

(9)
A relaxed Pr2Sn3Pd crystal. Source: the Alexandria database, functional PBE-GGA.

The calculation puts the formation energy at -4.4 eV/f.u. The density of states at the Fermi level is 0.676 states/eV per atom. As for the energy above the most stable polymorph in this dataset: 0.000 eV per atom. Its crystal system is monoclinic. For the magnetic moment, the calculation gives 0.00 μB/f.u.

abc: 11.5641 4.7323 7.5527
angles: 90.00 130.49 90.00
Closest atoms and distances in Å follow each position.
Space group Cm (No. 8)
One atom of each set of equivalent atoms:
Pr (0.0000, 0.0000, 0.0000) [2 per cell]  8 Sn 3.23-3.62, 3 Pd 3.33-3.43
Pr (0.1157, 0.0000, 0.6014) [2 per cell]  8 Sn 3.32-3.47, 3 Pd 3.59-3.61
Sn (0.2201, 0.5000, 0.4036) [2 per cell]  1 Pd 2.79, 2 Sn 3.05
Sn (0.3759, 0.0000, 0.1783) [2 per cell]  2 Pd 2.68
Sn (0.4376, 0.0000, 0.6555) [2 per cell]  1 Pd 2.71
Pd (0.2338, 0.5000, 0.0480) [2 per cell]  4 Sn 2.68-2.79

---

(10)
A relaxed Pr3Sn6Pd4 crystal. Source: the Alexandria database, functional PBE-GGA.

The calculation puts the formation energy at -10.2 eV/f.u. The density of states at the Fermi level is 0.425 states/eV per atom. Its crystal system is orthorhombic. For the magnetic moment, the calculation gives 0.00 μB/f.u.

abc: 16.9756 4.6633 15.7166
angles: 90.00 90.00 90.00
Closest atoms and distances in Å follow each position.
Space group Pnma (No. 62)
One atom of each set of equivalent atoms:
Pr (0.1171, 0.2500, 0.2467) [4 per cell]  9 Sn 3.40-3.78, 6 Pd 3.49-3.66
Pr (0.1434, 0.7500, 0.6174) [4 per cell]  6 Pd 3.43-3.53, 9 Sn 3.46-3.74
Pr (0.1503, 0.2500, 0.9830) [4 per cell]  8 Sn 3.30-3.36, 6 Pd 3.34-3.60
Sn (0.0256, 0.7500, 0.9193) [4 per cell]  3 Pd 2.66-2.86
Sn (0.0515, 0.2500, 0.4602) [4 per cell]  4 Pd 2.68-2.75
Sn (0.0573, 0.2500, 0.7698) [4 per cell]  3 Pd 2.61-2.73
Sn (0.1711, 0.7500, 0.3933) [4 per cell]  4 Pd 2.73-2.75
Sn (0.1881, 0.7500, 0.8360) [4 per cell]  3 Pd 2.63-2.78
Sn (0.2061, 0.7500, 0.1192) [4 per cell]  3 Pd 2.64-2.71
Pd (0.0106, 0.7500, 0.3791) [4 per cell]  5 Sn 2.61-2.75
Pd (0.0475, 0.7500, 0.1000) [4 per cell]  5 Sn 2.66-2.86
Pd (0.2089, 0.2500, 0.4734) [4 per cell]  5 Sn 2.68-2.78
Pd (0.2180, 0.2500, 0.7658) [4 per cell]  5 Sn 2.63-2.75

---

(11)
A relaxed PrSn4Pd6 crystal. Source: the Alexandria database, functional PBE-GGA.

The calculation puts the formation energy at -7.1 eV/f.u. The density of states at the Fermi level is 0.464 states/eV per atom. Its crystal system is hexagonal. For the magnetic moment, the calculation gives 0.00 μB/f.u.

abc: 7.7032 7.7032 4.2422
angles: 90.00 90.00 120.00
Closest atoms and distances in Å follow each position.
Space group P-6m2 (No. 187)
One atom of each set of equivalent atoms:
Pr (0.0000, 0.0000, 0.0000) [1 per cell]  6 Sn 3.33, 6 Pd 3.44
Sn (0.3333, 0.6667, 0.0000) [1 per cell]  9 Pd 2.72-2.74
Sn (0.3855, 0.1928, 0.5000) [3 per cell]  6 Pd 2.64-2.79
Pd (0.2032, 0.4065, 0.5000) [3 per cell]  4 Sn 2.64-2.74
Pd (0.5374, 0.0748, 0.0000) [3 per cell]  5 Sn 2.72-2.79, 2 Pd 2.99

---

(12)
A relaxed PrSnPd crystal. Source: the Alexandria database, functional PBE-GGA.

The calculation puts the formation energy at -2.7 eV/f.u. The density of states at the Fermi level is 0.424 states/eV per atom. Its crystal system is hexagonal. For the magnetic moment, the calculation gives 0.00 μB/f.u.

abc: 7.6835 7.6835 4.1778
angles: 90.00 90.00 120.00
Closest atoms and distances in Å follow each position.
Space group P-62m (No. 189)
One atom of each set of equivalent atoms:
Pr (0.0000, 0.5876, 0.0000) [3 per cell]  5 Pd 3.12-3.17, 6 Sn 3.33-3.47
Sn (0.0000, 0.2506, 0.5000) [3 per cell]  4 Pd 2.84-2.93
Pd (0.0000, 0.0000, 0.0000) [1 per cell]  6 Sn 2.84, 3 Pr 3.17
Pd (0.3333, 0.6667, 0.5000) [2 per cell]  3 Sn 2.93, 6 Pr 3.12

---

Copy entry 10 word for word.
A relaxed Pr3Sn6Pd4 crystal. Source: the Alexandria database, functional PBE-GGA.

The calculation puts the formation energy at -10.2 eV/f.u. The density of states at the Fermi level is 0.425 states/eV per atom. Its crystal system is orthorhombic. For the magnetic moment, the calculation gives 0.00 μB/f.u.

abc: 16.9756 4.6633 15.7166
angles: 90.00 90.00 90.00
Closest atoms and distances in Å follow each position.
Space group Pnma (No. 62)
One atom of each set of equivalent atoms:
Pr (0.1171, 0.2500, 0.2467) [4 per cell]  9 Sn 3.40-3.78, 6 Pd 3.49-3.66
Pr (0.1434, 0.7500, 0.6174) [4 per cell]  6 Pd 3.43-3.53, 9 Sn 3.46-3.74
Pr (0.1503, 0.2500, 0.9830) [4 per cell]  8 Sn 3.30-3.36, 6 Pd 3.34-3.60
Sn (0.0256, 0.7500, 0.9193) [4 per cell]  3 Pd 2.66-2.86
Sn (0.0515, 0.2500, 0.4602) [4 per cell]  4 Pd 2.68-2.75
Sn (0.0573, 0.2500, 0.7698) [4 per cell]  3 Pd 2.61-2.73
Sn (0.1711, 0.7500, 0.3933) [4 per cell]  4 Pd 2.73-2.75
Sn (0.1881, 0.7500, 0.8360) [4 per cell]  3 Pd 2.63-2.78
Sn (0.2061, 0.7500, 0.1192) [4 per cell]  3 Pd 2.64-2.71
Pd (0.0106, 0.7500, 0.3791) [4 per cell]  5 Sn 2.61-2.75
Pd (0.0475, 0.7500, 0.1000) [4 per cell]  5 Sn 2.66-2.86
Pd (0.2089, 0.2500, 0.4734) [4 per cell]  5 Sn 2.68-2.78
Pd (0.2180, 0.2500, 0.7658) [4 per cell]  5 Sn 2.63-2.75